# 1
First-principles (PBE) data for a relaxed Na4Ti3CoS8 crystal, as listed in the Alexandria database.

Computed properties:
Crystal system   trigonal
Magnetic moment   8.108 Bohr magnetons per cell
E_form (uncorrected)   -1.16 eV/atom
Electronic total energy   -263.0 eV per cell

Lattice parameters (Å, degrees): 7.1028 7.1028 19.8769 90.00 90.00 120.00
Space group R-3m (No. 166, hexagonal axes)
Symmetry-distinct sites (fractional):
1 Na 0.0000 0.0000 0.0000 (multiplicity 3)
2 Na 0.0000 0.5000 0.0000 (multiplicity 9)
3 Ti 0.0000 0.5000 0.5000 (multiplicity 9)
4 Co 0.0000 0.0000 0.5000 (multiplicity 3)
5 S 0.0000 0.0000 0.2375 (multiplicity 6)
6 S 0.0053 0.5027 0.2345 (multiplicity 18)


# 2
First-principles (PBE) data for a relaxed Gd2NbCo crystal, as listed in the Alexandria database.

Computed properties:
Crystal system   trigonal
Magnetic moment   44.564 Bohr magnetons per cell
Electronic total energy   -128.7 eV per cell
Energy relative to the elements   0.61 eV per atom

Lattice parameters (Å, degrees): 3.2479 3.2479 29.6817 90.00 90.00 120.00
Space group R-3m (No. 166, hexagonal axes)
Symmetry-distinct sites (fractional):
1 Gd 0.0000 0.0000 0.1009 (multiplicity 6)
2 Nb 0.0000 0.0000 0.0000 (multiplicity 3)
3 Co 0.0000 0.0000 0.5000 (multiplicity 3)


# 3
First-principles (PBE) data for a relaxed AcTb6Y4 crystal, as listed in the Alexandria database.

Computed properties:
Crystal system   tetragonal
Magnetic moment   0.000 Bohr magnetons per cell
Polymorph energy (0 for the lowest one)   293 meV per atom
Electronic total energy   -106.0 eV per cell
Energy relative to the elements   0.43 eV per atom

Lattice parameters (Å, degrees): 7.8086 7.8086 13.0186 90.00 90.00 90.00
Space group I-42m (No. 121)
Symmetry-distinct sites (fractional):
1 Ac 0.0000 0.0000 0.0000 (multiplicity 2)
2 Tb 0.0000 0.5000 0.0000 (multiplicity 4)
3 Tb 0.2467 0.2467 0.6888 (multiplicity 8)
4 Y 0.1631 0.1631 0.4235 (multiplicity 8)


# 4
First-principles (PBE) data for a relaxed ZnPRu2 crystal, as listed in the Alexandria database.

Computed properties:
Crystal system   trigonal
Magnetic moment   0.002 Bohr magnetons per cell
Polymorph energy (0 for the lowest one)   152 meV per atom
Electronic total energy   -77.0 eV per cell
Energy relative to the elements   -0.11 eV per atom

Lattice parameters (Å, degrees): 3.6701 3.6701 15.4387 90.00 90.00 120.00
Space group R3m (No. 160, hexagonal axes)
Symmetry-distinct sites (fractional):
1 Zn 0.0000 0.0000 0.0000 (multiplicity 3)
2 P 0.0000 0.0000 0.1704 (multiplicity 3)
3 Ru 0.0000 0.0000 0.5646 (multiplicity 3)
4 Ru 0.0000 0.0000 0.7710 (multiplicity 3)